Below is an optimized crystal structure of K4LiTa, with properties calculated at the GGA-PBE level.

- Energy relative to the elements: 1.1699 eV per atom
- Final energy: -1.8562 eV/atom

a = 10.3234 Å, b = 10.3234 Å, c = 10.3234 Å
α = 90.00°, β = 90.00°, γ = 90.00°
Space group F-43m (No. 216)
Unique sites:
K 0.1240 0.1240 0.3760 x16
Li 0.0000 0.0000 0.0000 x4
Ta 0.2500 0.2500 0.7500 x4


Below is an optimized crystal structure of NaIn3Cl4, with properties calculated at the GGA-PBE level.

- Final energy: -3.1341 eV/atom
- Formation energy without anion corrections: -98 kJ per mole of atoms

a = 8.9560 Å, b = 9.7682 Å, c = 6.2942 Å
α = 90.00°, β = 90.00°, γ = 90.00°
Space group Pmn2_1 (No. 31)
Unique sites:
Na 0.0000 0.2084 0.0000 x2
In 0.0000 0.8945 0.5053 x2
In 0.2000 0.6513 0.0322 x4
Cl 0.0000 0.2421 0.5434 x2
Cl 0.0000 0.9338 0.9534 x2
Cl 0.2330 0.6658 0.5570 x4


Below is an optimized crystal structure of YAlPt5, with properties calculated at the GGA-PBE level.

- Energy relative to the elements: -0.8722 eV per atom
- Final energy: -6.6451 eV/atom

a = 4.0701 Å, b = 4.0701 Å, c = 7.2833 Å
α = 90.00°, β = 90.00°, γ = 90.00°
Space group P4/mmm (No. 123)
Unique sites:
Y 0.0000 0.0000 0.0000 x1
Al 0.5000 0.5000 0.5000 x1
Pt 0.0000 0.5000 0.2931 x4
Pt 0.5000 0.5000 0.0000 x1


> Among the records above, which one has the highest final energy?

K4LiTa